Record 1
The following is a DFT calculation (PBE) of crystalline LaNbTc at its relaxed geometry.

Structure (CIF):
```
data_LaNbTc
_cell_length_a 6.3984
_cell_length_b 6.3984
_cell_length_c 6.3984
_cell_angle_alpha 90.00
_cell_angle_beta 90.00
_cell_angle_gamma 90.00
_space_group_name_H-M_alt 'F -4 3 m'
_space_group_IT_number 216
_space_group_name_Hall 'F -4 2 3'
loop_
_atom_site_label
_atom_site_type_symbol
_atom_site_fract_x
_atom_site_fract_y
_atom_site_fract_z
La1 La 0.0000 0.0000 0.0000
Nb1 Nb 0.2500 0.2500 0.7500
Tc1 Tc 0.2500 0.2500 0.2500
```

Calculated values
Volume, Å³ per atom: 21.83
Offset from the most stable computed form, eV/atom: 0.9668
ΔH_f (0 K), eV/atom: 1.403
Final energy, eV for the cell shown: -84.7


Record 2
The following is a DFT calculation (PBE) of crystalline LaNbTl at its relaxed geometry.

Structure (CIF):
```
data_LaNbTl
_cell_length_a 7.2823
_cell_length_b 7.2823
_cell_length_c 7.2823
_cell_angle_alpha 90.00
_cell_angle_beta 90.00
_cell_angle_gamma 90.00
_space_group_name_H-M_alt 'F -4 3 m'
_space_group_IT_number 216
_space_group_name_Hall 'F -4 2 3'
loop_
_atom_site_label
_atom_site_type_symbol
_atom_site_fract_x
_atom_site_fract_y
_atom_site_fract_z
La1 La 0.0000 0.0000 0.0000
Nb1 Nb 0.2500 0.2500 0.7500
Tl1 Tl 0.2500 0.2500 0.2500
```

Calculated values
Volume, Å³ per atom: 32.18
Offset from the most stable computed form, eV/atom: 0.3689
Final energy, eV for the cell shown: -57.4


Record 3
The following is a DFT calculation (PBE) of crystalline LaNbTl at its relaxed geometry.

Structure (CIF):
```
data_LaNbTl
_cell_length_a 7.1742
_cell_length_b 7.1742
_cell_length_c 7.1742
_cell_angle_alpha 90.00
_cell_angle_beta 90.00
_cell_angle_gamma 90.00
_space_group_name_H-M_alt 'F -4 3 m'
_space_group_IT_number 216
_space_group_name_Hall 'F -4 2 3'
loop_
_atom_site_label
_atom_site_type_symbol
_atom_site_fract_x
_atom_site_fract_y
_atom_site_fract_z
La1 La 0.0000 0.0000 0.0000
Nb1 Nb 0.0000 0.0000 0.5000
Tl1 Tl 0.2500 0.2500 0.2500
```

Calculated values
Volume, Å³ per atom: 30.77
Offset from the most stable computed form, eV/atom: 0.0000
Final energy, eV for the cell shown: -61.8


Record 4
The following is a DFT calculation (PBE) of crystalline La2NbZn at its relaxed geometry.

Structure (CIF):
```
data_La2NbZn
_cell_length_a 7.2630
_cell_length_b 7.2630
_cell_length_c 7.2630
_cell_angle_alpha 90.00
_cell_angle_beta 90.00
_cell_angle_gamma 90.00
_space_group_name_H-M_alt 'F -4 3 m'
_space_group_IT_number 216
_space_group_name_Hall 'F -4 2 3'
loop_
_atom_site_label
_atom_site_type_symbol
_atom_site_fract_x
_atom_site_fract_y
_atom_site_fract_z
La1 La 0.0000 0.0000 0.0000
La2 La 0.2500 0.2500 0.2500
Nb1 Nb 0.2500 0.2500 0.7500
Zn1 Zn 0.0000 0.0000 0.5000
```

Calculated values
Volume, Å³ per atom: 23.95
ΔH_f (0 K), eV/atom: 0.309
Final energy, eV for the cell shown: -79.9


Record 5
The following is a DFT calculation (PBE) of crystalline LaNb2Zn at its relaxed geometry.

Structure (CIF):
```
data_LaNb2Zn
_cell_length_a 6.9244
_cell_length_b 6.9244
_cell_length_c 6.9244
_cell_angle_alpha 90.00
_cell_angle_beta 90.00
_cell_angle_gamma 90.00
_space_group_name_H-M_alt 'F -4 3 m'
_space_group_IT_number 216
_space_group_name_Hall 'F -4 2 3'
loop_
_atom_site_label
_atom_site_type_symbol
_atom_site_fract_x
_atom_site_fract_y
_atom_site_fract_z
La1 La 0.0000 0.0000 0.0000
Nb1 Nb 0.0000 0.0000 0.5000
Nb2 Nb 0.2500 0.2500 0.2500
Zn1 Zn 0.2500 0.2500 0.7500
```

Calculated values
Volume, Å³ per atom: 20.75
ΔH_f (0 K), eV/atom: 0.268
Final energy, eV for the cell shown: -101.2


Record 6
The following is a DFT calculation (PBE) of crystalline LaNd at its relaxed geometry.

Structure (CIF):
```
data_LaNd
_cell_length_a 5.0398
_cell_length_b 5.0398
_cell_length_c 7.0409
_cell_angle_alpha 90.00
_cell_angle_beta 90.00
_cell_angle_gamma 120.00
_space_group_name_H-M_alt 'P 63/m m c'
_space_group_IT_number 194
_space_group_name_Hall '-P 6c 2c'
loop_
_atom_site_label
_atom_site_type_symbol
_atom_site_fract_x
_atom_site_fract_y
_atom_site_fract_z
La1 La 0.0000 0.0000 0.0000
Nd1 Nd 0.3333 0.6667 0.2500
```

Calculated values
Volume, Å³ per atom: 38.72
Offset from the most stable computed form, eV/atom: 0.6047
ΔH_f (0 K), eV/atom: 0.633
Final energy, eV for the cell shown: -16.8